Entry from Alexandria via LeMat-Bulk: a relaxed structure of Na2Sm2MoO6 (GGA+U).

Computed properties:
As for the electronic total energy: -6.8407 eV per atom. As for the total magnetic moment: 2.00 μB/f.u. The density of states at the Fermi level is 0.000 states/eV per cell.

Lattice parameters (Å, degrees): 5.9163 5.9163 5.9211 97.94 97.94 119.46
Fractional coordinates of all 11 atoms:
O1 0.2482 0.2482 0.2963
O2 0.0444 0.3510 0.6922
O3 0.7518 0.7518 0.7037
O4 0.9556 0.6490 0.3078
O5 0.6490 0.9556 0.3078
O6 0.3510 0.0444 0.6922
Mo1 0.0000 0.0000 0.5000
Na1 0.1438 0.8562 0.0000
Na2 0.8562 0.1438 0.0000
Sm1 0.3373 0.6627 0.5000
Sm2 0.6627 0.3373 0.5000